A relaxed structure of Li3PuHg3. Source: the Alexandria database, functional PBE.

## Properties
- total DFT energy (no corrections) (eV per formula unit) = -20.2
- N(E_F) (states/eV per cell) = 42.27
- formation energy from the elements (meV per atom) = 116

Cell lengths 7.090, 7.090, 7.090 Å; angles 90.00, 90.00, 90.00 degrees
Space group Pm-3n (No. 223)
Symmetry-distinct sites (fractional):
Li 0.000 0.250 0.500
Pu 0.000 0.000 0.000
Hg 0.000 0.500 0.250